Below is a relaxed ZnAgOs2 crystal, with properties calculated at the PBE-GGA level.

The structure in extended XYZ format:
```
4
Lattice="-2.607 -0.560 0.424 1.835 -1.439 1.361 -0.223 6.334 6.997" Properties=species:S:1:pos:R:3 pbc="T T T"
Zn -0.442 0.584 2.642
Ag -0.554 3.751 6.141
Os -0.003 0.096 0.106
Os -0.108 3.072 3.393
```

Results
As for the energy of formation: 0.53 eV per atom. The value obtained for the volume is 15.2 A^3/atom.


Below is a relaxed MnFe crystal, with properties calculated at the PBE-GGA level.

The structure in extended XYZ format:
```
8
Lattice="4.292 0.000 0.000 0.000 3.922 0.000 0.000 0.000 4.957" Properties=species:S:1:pos:R:3 pbc="T T T"
Fe 2.502 0.980 1.855
Fe 3.935 2.941 4.334
Fe 1.790 2.941 3.102
Fe 0.356 0.980 0.623
Mn 1.784 2.941 0.614
Mn 2.508 0.980 4.343
Mn 3.930 2.941 1.864
Mn 0.362 0.980 3.093
```

Results
As for the energy of formation: 0.03 eV per atom. The value obtained for the volume is 10.4 A^3/atom.


Below is a relaxed Dy4Y2ErMg crystal, with properties calculated at the PBE-GGA level.

The structure in extended XYZ format:
```
8
Lattice="-1.235 4.426 1.831 1.268 -1.525 4.542 10.599 1.706 3.025" Properties=species:S:1:pos:R:3 pbc="T T T"
Mg 0.017 1.451 3.186
Dy 7.662 3.115 4.320
Dy 1.720 4.468 3.723
Dy 8.912 0.139 5.675
Dy 2.971 1.493 5.078
Y 4.682 3.066 2.428
Y 10.599 1.706 3.025
Er 5.934 0.090 3.784
```

Results
As for the energy of formation: 0.02 eV per atom. The value obtained for the volume is 30.6 A^3/atom.


Below is a relaxed K4NaTl crystal, with properties calculated at the PBE-GGA level.

The structure in extended XYZ format:
```
12
Lattice="7.316 0.000 0.000 0.000 9.392 0.000 0.000 0.000 9.392" Properties=species:S:1:pos:R:3 pbc="T T T"
Tl 5.487 4.696 4.696
Tl 1.829 4.696 4.696
K 0.000 7.698 3.291
K 3.658 3.291 7.698
K 0.000 6.101 7.698
K 0.000 1.694 6.101
K 0.000 3.291 1.694
K 3.658 7.698 6.101
K 3.658 1.694 3.291
K 3.658 6.101 1.694
Na 1.829 0.000 0.000
Na 5.487 0.000 0.000
```

Results
As for the energy of formation: -0.02 eV per atom. The energy relative to the lowest polymorph listed for this composition is 0 meV per atom. The value obtained for the volume is 53.8 A^3/atom.


Below is a relaxed TaTlZn2 crystal, with properties calculated at the PBE-GGA level.

The structure in extended XYZ format:
```
4
Lattice="4.171 0.000 0.000 0.000 4.173 0.000 0.000 0.000 4.028" Properties=species:S:1:pos:R:3 pbc="T T T"
Zn 0.000 0.000 0.000
Zn 2.086 2.086 0.000
Ta 2.086 0.000 2.014
Tl 0.000 2.086 2.014
```

Results
As for the energy of formation: 0.27 eV per atom. The energy relative to the lowest polymorph listed for this composition is 65 meV per atom. The value obtained for the volume is 17.5 A^3/atom.


Below is a relaxed LiOs2IO crystal, with properties calculated at the PBE-GGA level.

The structure in extended XYZ format:
```
5
Lattice="-3.308 2.652 0.390 -2.755 -3.507 0.472 0.584 0.108 4.216" Properties=species:S:1:pos:R:3 pbc="T T T"
Os -1.654 1.326 0.195
Os 0.292 0.054 2.108
I -1.378 -1.753 0.236
O -2.740 -0.373 2.539
Li 0.000 0.000 0.000
```

Results
Its uncorrected formation energy is 2154 meV per atom. The value obtained for the volume is 16.3 A^3/atom.


Below is a relaxed Ba12PdPt5 crystal, with properties calculated at the PBE-GGA level.

The structure in extended XYZ format:
```
18
Lattice="8.011 0.000 0.710 4.005 6.965 0.355 1.348 0.000 15.038" Properties=species:S:1:pos:R:3 pbc="T T T"
Pt 4.005 2.321 0.355
Pt 4.679 0.000 7.874
Pt 8.685 2.319 8.229
Pt 4.679 4.646 7.874
Pt 8.011 4.644 0.710
Ba 9.871 4.644 10.018
Ba 6.855 4.615 13.821
Ba 10.514 4.615 2.638
Ba 6.558 6.965 2.287
Ba 2.850 2.350 13.465
Ba 7.498 4.644 6.441
Ba 5.866 2.321 9.663
Ba 6.806 0.000 13.817
Ba 1.859 0.000 9.316
Ba 7.500 0.000 6.432
Ba 3.493 2.321 6.086
Ba 6.509 2.350 2.283
Pd 0.000 0.000 0.000
```

Results
As for the energy of formation: -0.60 eV per atom. The value obtained for the volume is 46.2 A^3/atom.


Below is a relaxed TcAu2Br crystal, with properties calculated at the PBE-GGA level.

The structure in extended XYZ format:
```
4
Lattice="9.875 0.033 0.019 9.410 2.994 0.019 9.410 1.477 2.605" Properties=species:S:1:pos:R:3 pbc="T T T"
Au 14.100 2.213 1.299
Au 0.247 0.039 0.023
Tc 21.521 3.378 1.982
Br 7.174 1.126 0.661
```

Results
The energy relative to the lowest polymorph listed for this composition is 194 meV per atom. Its uncorrected formation energy is 537 meV per atom. The value obtained for the volume is 18.9 A^3/atom.